No. 1
{
  "formula": "DyY3N4",
  "functional": "PBE",
  "state": "optimized geometry",
  "space_group": "Pm-3m",
  "dft_energy_ev_per_cell": -70.9,
  "raw_formation_energy_mev_per_atom": -1696.4,
  "lattice": [[4.918, 0.000, 0.000], [0.000, 4.918, 0.000], [0.000, 0.000, 4.918]],
  "species": ["N", "N", "N", "N", "Dy", "Y", "Y", "Y"],
  "fractional_positions": [[0.000, 0.500, 0.000], [0.500, 0.000, 0.000], [0.500, 0.500, 0.500], [0.000, 0.000, 0.500], [0.000, 0.000, 0.000], [0.500, 0.500, 0.000], [0.500, 0.000, 0.500], [0.000, 0.500, 0.500]]
}

No. 2
{
  "formula": "DyY3N",
  "functional": "PBE",
  "state": "optimized geometry",
  "space_group": "Pm-3m",
  "dft_energy_ev_per_cell": -34.8,
  "raw_formation_energy_mev_per_atom": -503.7,
  "lattice": [[4.981, 0.000, 0.000], [0.000, 4.981, 0.000], [0.000, 0.000, 4.981]],
  "species": ["Y", "Y", "Y", "N", "Dy"],
  "fractional_positions": [[0.000, 0.500, 0.000], [0.000, 0.000, 0.500], [0.500, 0.000, 0.000], [0.000, 0.000, 0.000], [0.500, 0.500, 0.500]]
}

No. 3
{
  "formula": "DyYN",
  "functional": "PBE",
  "state": "optimized geometry",
  "space_group": "P3m1",
  "dft_energy_ev_per_cell": -22.5,
  "raw_formation_energy_mev_per_atom": -1043.4,
  "lattice": [[3.506, 0.000, 0.000], [-1.753, 3.036, 0.000], [0.000, 0.000, 5.980]],
  "species": ["N", "Y", "Dy"],
  "fractional_positions": [[0.000, 0.000, 0.003], [0.333, 0.667, 0.775], [0.667, 0.333, 0.223]]
}

No. 4
{
  "formula": "DyY3N4",
  "functional": "PBE",
  "state": "optimized geometry",
  "space_group": "P2/c",
  "dft_energy_ev_per_cell": -141.7,
  "raw_formation_energy_mev_per_atom": -1696.3,
  "lattice": [[6.022, 0.055, 0.000], [-2.058, 5.659, 0.000], [0.000, 0.000, 6.957]],
  "species": ["Dy", "Dy", "N", "N", "N", "N", "N", "N", "N", "N", "Y", "Y", "Y", "Y", "Y", "Y"],
  "fractional_positions": [[0.250, 0.000, 0.125], [0.750, 0.000, 0.875], [0.500, 0.750, 0.625], [0.000, 0.751, 0.876], [0.000, 0.750, 0.375], [0.500, 0.751, 0.124], [0.500, 0.250, 0.375], [0.000, 0.249, 0.124], [0.500, 0.249, 0.876], [0.000, 0.250, 0.625], [0.250, 0.500, 0.875], [0.250, 0.500, 0.375], [0.750, 0.000, 0.375], [0.250, 0.000, 0.625], [0.750, 0.500, 0.125], [0.750, 0.500, 0.625]]
}

No. 5
{
  "formula": "Dy3YN4",
  "functional": "PBE",
  "state": "optimized geometry",
  "space_group": "Pm-3m",
  "dft_energy_ev_per_cell": -67.2,
  "raw_formation_energy_mev_per_atom": -1702.6,
  "lattice": [[-1.923, 2.603, 3.698], [-2.472, -3.970, 1.509], [3.787, -1.270, 2.863]],
  "species": ["Y", "N", "N", "N", "N", "Dy", "Dy", "Dy"],
  "fractional_positions": [[0.000, 0.000, 0.000], [0.500, 0.500, 0.500], [0.000, 0.500, 0.000], [0.500, 0.000, 0.000], [0.000, 0.000, 0.500], [0.000, 0.500, 0.500], [0.500, 0.500, 0.000], [0.500, 0.000, 0.500]]
}

No. 6
{
  "formula": "Dy4Y2N",
  "functional": "PBE",
  "state": "optimized geometry",
  "space_group": "I4/mmm",
  "dft_energy_ev_per_cell": -41.6,
  "raw_formation_energy_mev_per_atom": -280.9,
  "lattice": [[4.787, 0.000, 0.000], [0.000, 4.787, 0.000], [2.393, 2.393, 8.819]],
  "species": ["N", "Dy", "Dy", "Dy", "Dy", "Y", "Y"],
  "fractional_positions": [[0.000, 0.000, 0.000], [0.000, 0.500, 0.000], [0.500, 0.000, 0.000], [0.868, 0.868, 0.264], [0.132, 0.132, 0.736], [0.331, 0.331, 0.338], [0.669, 0.669, 0.662]]
}